Entry 1:
The following is a PBE calculation of PuSiNi after structural relaxation, from OQMD.

The space group is F-43m (216).

Cell: 4.3555 4.3555 4.3555 Å, 60.00 60.00 60.00°
Closest atoms and distances in Å follow each position.
Fractional positions:
Si  0.0000  0.0000  0.0000  4 Pu 2.67, 4 Ni 2.67
Ni  0.2500  0.2500  0.2500  4 Si 2.67
Pu  0.7500  0.7500  0.7500  4 Si 2.67

=====

Entry 2:
The following is a PBE calculation of TbHfAl2Pd4 after structural relaxation, from OQMD.

The space group is P-6m2 (187).

Cell: 4.3335 4.3335 8.8876 Å, 90.00 90.00 120.00°
Closest atoms and distances in Å follow each position.
Fractional positions:
Al  0.6667  0.3333  0.7359  6 Pd 2.60-2.61
Pd  0.3333  0.6667  0.8214  3 Al 2.61, 1 Hf 2.86, 3 Pd 2.90
Pd  0.0000  0.0000  0.3438  3 Al 2.60, 4 Pd 2.78-2.90, 3 Hf 2.86
Pd  0.3333  0.6667  0.1786  3 Al 2.61, 1 Hf 2.86, 3 Pd 2.90
Tb  0.0000  0.0000  0.0000  8 Pd 2.96-3.06
Al  0.6667  0.3333  0.2641  6 Pd 2.60-2.61
Hf  0.3333  0.6667  0.5000  8 Pd 2.86
Pd  0.0000  0.0000  0.6562  3 Al 2.60, 4 Pd 2.78-2.90, 3 Hf 2.86

=====

| no. | total magnetic moment (μB per formula unit) | E_tot (eV for the cell shown) |
| --- | --- | --- |
| 1 | 4.38 | -25.12 |
| 2 | 0.01 | -49.76 |